A plane-wave DFT calculation with GGA-PBE was carried out for crystalline LaTb2Pt at its relaxed geometry.

Output
**E_tot**: -5.65 eV/atom
**Total magnetization**: 0.000 μB per atom
**N(E_F)**: 0.992 states/eV/atom

Lattice parameters (Å, degrees): 3.5785 3.5785 8.9147 90.00 90.00 90.00
With the nearest neighbours (Å) after each atom.
Space group P4/mmm (No. 123)
Asymmetric unit:
La (0.0000, 0.0000, 0.0000) (multiplicity 1)  4 La 3.58, 8 Tb 3.79
Tb (0.5000, 0.5000, 0.3162) (multiplicity 2)  4 Pt 3.01, 1 Tb 3.28
Pt (0.0000, 0.0000, 0.5000) (multiplicity 1)  8 Tb 3.01